[1]
Cu2NiAu: optimized geometry, PBE.

abc: 4.221 4.221 4.221
angles: 60.00 60.00 60.00
Fractional positions:
Cu 0.000 0.000 0.000
Cu 0.250 0.250 0.250
Ni 0.750 0.750 0.750
Au 0.500 0.500 0.500


[2]
CuNiAu2: optimized geometry, PBE.

abc: 8.756 8.756 8.756
angles: 18.67 18.67 18.67
Fractional positions:
Cu 0.000 0.000 0.000
Ni 0.500 0.500 0.500
Au 0.249 0.249 0.249
Au 0.751 0.751 0.751


[3]
Cu2NiAu: optimized geometry, PBE.

abc: 2.723 3.555 5.473
angles: 90.00 90.08 90.00
Fractional positions:
Cu 0.000 0.000 0.000
Cu 0.499 0.500 0.769
Ni 0.999 0.000 0.545
Au 0.499 0.500 0.276


| no. | Fermi-level density of states (states/eV per atom) | formation enthalpy at 0 K (eV/atom) |
| --- | --- | --- |
| 1 | 0.6615 | 0.058 |
| 2 | 0.7522 | 0.120 |
| 3 | 0.6041 | 0.032 |